Model a:
Below is a geometry-optimized CdIr3W structure, with properties calculated at the PBE level.

Output
Calculated volume ... 108.9 Å³/cell
Mass density ... 13.3 g/cm³

Unit cell a=4.7749 b=4.7749 c=4.7749 alpha=90.00 beta=90.00 gamma=90.00
Closest atoms and distances in Å follow each position.
Fractional positions:
Cd 0.5000 0.5000 0.5000  12 Ir 3.38
W 0.0000 0.0000 0.0000  6 Ir 2.39
Ir 0.0000 0.5000 0.0000  2 W 2.39
Ir 0.0000 0.0000 0.5000  2 W 2.39
Ir 0.5000 0.0000 0.0000  2 W 2.39

Model b:
Below is a geometry-optimized CdIr3W structure, with properties calculated at the PBE level.

Output
Calculated volume ... 104.3 Å³/cell
Mass density ... 13.9 g/cm³

Unit cell a=4.7069 b=4.7069 c=4.7069 alpha=90.00 beta=90.00 gamma=90.00
Closest atoms and distances in Å follow each position.
Fractional positions:
W 0.5000 0.5000 0.5000  12 Ir 3.33
Ir 0.5000 0.0000 0.0000  2 Cd 2.35
Ir 0.0000 0.0000 0.5000  2 Cd 2.35
Ir 0.0000 0.5000 0.0000  2 Cd 2.35
Cd 0.0000 0.0000 0.0000  6 Ir 2.35

Most stable of them? model a.

Model a:
Below is a geometry-optimized Y4CdIr structure, with properties calculated at the PBE level.

Output
Calculated volume ... 638.9 Å³/cell
Mass density ... 6.9 g/cm³

Unit cell a=9.6674 b=9.6674 c=9.6674 alpha=60.00 beta=60.00 gamma=60.00
Closest atoms and distances in Å follow each position.
Fractional positions:
Ir 0.1417 0.1417 0.5750  6 Y 2.82-2.85
Ir 0.1417 0.1417 0.1417  6 Y 2.82-2.85
Ir 0.1417 0.5750 0.1417  6 Y 2.82-2.85
Ir 0.5750 0.1417 0.1417  6 Y 2.82-2.85
Y 0.8100 0.1900 0.1900  2 Ir 2.82
Y 0.1900 0.8100 0.1900  2 Ir 2.82
Y 0.9379 0.9379 0.5621  2 Cd 3.28, 2 Ir 3.49, 10 Y 3.49-3.63
Y 0.9379 0.5621 0.5621  2 Cd 3.28, 2 Ir 3.49, 10 Y 3.49-3.63
Y 0.3494 0.9518 0.3494  3 Ir 2.85
Y 0.5621 0.5621 0.9379  2 Cd 3.28, 2 Ir 3.49, 10 Y 3.49-3.63
Y 0.9518 0.3494 0.3494  3 Ir 2.85
Y 0.8100 0.8100 0.1900  2 Ir 2.82
Y 0.3494 0.3494 0.9518  3 Ir 2.85
Y 0.1900 0.1900 0.8100  2 Ir 2.82
Y 0.3494 0.3494 0.3494  3 Ir 2.85
Y 0.8100 0.1900 0.8100  2 Ir 2.82
Y 0.9379 0.5621 0.9379  2 Cd 3.28, 2 Ir 3.49, 10 Y 3.49-3.63
Y 0.1900 0.8100 0.8100  2 Ir 2.82
Y 0.5621 0.9379 0.9379  2 Cd 3.28, 2 Ir 3.49, 10 Y 3.49-3.63
Y 0.5621 0.9379 0.5621  2 Cd 3.28, 2 Ir 3.49, 10 Y 3.49-3.63
Cd 0.5807 0.5807 0.2578  3 Cd 3.12, 6 Y 3.28-3.44
Cd 0.5807 0.5807 0.5807  3 Cd 3.12, 6 Y 3.28-3.44
Cd 0.2578 0.5807 0.5807  3 Cd 3.12, 6 Y 3.28-3.44
Cd 0.5807 0.2578 0.5807  3 Cd 3.12, 6 Y 3.28-3.44

Model b:
Below is a geometry-optimized Y4CdIr structure, with properties calculated at the PBE level.

Output
Calculated volume ... 333.7 Å³/cell
Mass density ... 6.6 g/cm³

Unit cell a=6.1000 b=9.1363 c=7.8418 alpha=115.75 beta=99.62 gamma=112.39
Closest atoms and distances in Å follow each position.
Fractional positions:
Ir 0.7505 0.0005 0.0010  8 Y 2.84-3.05, 2 Ir 3.05
Ir 0.2495 0.9995 0.9990  8 Y 2.84-3.05, 2 Ir 3.05
Cd 0.3738 0.6238 0.2475  8 Y 3.18-3.40
Cd 0.6262 0.3762 0.7525  8 Y 3.18-3.40
Y 0.3860 0.9333 0.6551  2 Ir 2.84-2.86
Y 0.0935 0.2040 0.8427  2 Ir 2.98-3.05, 1 Cd 3.21
Y 0.6140 0.0667 0.3449  2 Ir 2.84-2.86
Y 0.2308 0.2782 0.3449  2 Ir 2.84-2.86
Y 0.7692 0.7218 0.6551  2 Ir 2.84-2.86
Y 0.9065 0.7960 0.1573  2 Ir 2.98-3.05, 1 Cd 3.21
Y 0.7508 0.3613 0.1573  2 Ir 2.98-3.05, 1 Cd 3.21
Y 0.2492 0.6387 0.8427  2 Ir 2.98-3.05, 1 Cd 3.21

Most stable of them? model a.

Model a:
Below is a geometry-optimized Y3CdIr structure, with properties calculated at the PBE level.

Output
Calculated volume ... 258.1 Å³/cell
Mass density ... 7.4 g/cm³

Unit cell a=5.8171 b=6.4242 c=8.8653 alpha=111.02 beta=78.63 gamma=123.42
Closest atoms and distances in Å follow each position.
Fractional positions:
Cd 0.4986 0.7883 0.4983  1 Cd 2.70
Cd 0.5014 0.2117 0.5017  1 Cd 2.70
Ir 0.0003 0.7500 0.0000  8 Y 2.88-3.03, 2 Ir 3.21
Ir 0.9997 0.2500 0.0000  8 Y 2.88-3.03, 2 Ir 3.21
Y 0.1241 0.2007 0.2799  2 Ir 2.88, 2 Cd 3.18
Y 0.4998 0.2010 0.9014  4 Ir 3.02-3.03, 2 Y 3.38
Y 0.8770 0.5776 0.2803  2 Ir 2.88, 2 Cd 3.18
Y 0.1230 0.4224 0.7197  2 Ir 2.88, 2 Cd 3.18
Y 0.5002 0.7990 0.0986  4 Ir 3.02-3.03, 2 Y 3.38
Y 0.8759 0.7993 0.7201  2 Ir 2.88, 2 Cd 3.18

Model b:
Below is a geometry-optimized Y3CdIr structure, with properties calculated at the PBE level.

Output
Calculated volume ... 156.6 Å³/cell
Mass density ... 6.1 g/cm³

Unit cell a=5.3903 b=5.3903 c=5.3903 alpha=90.00 beta=90.00 gamma=90.00
Closest atoms and distances in Å follow each position.
Fractional positions:
Ir 0.0000 0.0000 0.0000  6 Y 2.70
Y 0.0000 0.5000 0.0000  2 Ir 2.70
Y 0.0000 0.0000 0.5000  2 Ir 2.70
Y 0.5000 0.0000 0.0000  2 Ir 2.70
Cd 0.5000 0.5000 0.5000  12 Y 3.81

Most stable of them? model a.